1.
Computed, not measured: a relaxed Y3ErTl4Te8 crystal at the GGA-PBE level of DFT.

Structure (POSCAR):
```
Y3ErTl4Te8
1.0
4.4474 2.5677 8.1817
-4.4474 2.5677 8.1817
0.0000 -5.1354 8.1817
Y Er Tl Te
3 1 4 8
direct
0.0000 0.5000 0.5000
0.5000 0.0000 0.5000
0.5000 0.5000 0.0000
0.0000 0.0000 0.0000
0.0000 0.0000 0.5000
0.0000 0.5000 0.0000
0.5000 0.0000 0.0000
0.5000 0.5000 0.5000
0.2366 0.2366 0.7397
0.2366 0.7397 0.2366
0.2603 0.7634 0.7634
0.2620 0.2620 0.2620
0.7380 0.7380 0.7380
0.7397 0.2366 0.2366
0.7634 0.2603 0.7634
0.7634 0.7634 0.2603
```

## Properties
SG	R-3m
uncorrected formation energy	-16.98	eV per formula unit



2.
Computed, not measured: a relaxed ErTl2Zn2Te4 crystal at the GGA-PBE level of DFT.

Structure (POSCAR):
```
ErTl2Zn2Te4
1.0
7.8747 -2.1501 0.0000
7.8747 2.1501 0.0000
-2.3149 0.0000 8.2104
Er Tl Zn Te
1 2 2 4
direct
0.0000 0.0000 0.0000
0.1326 0.1326 0.5442
0.8674 0.8674 0.4558
0.3339 0.3339 0.0210
0.6661 0.6661 0.9790
0.2038 0.2038 0.1830
0.4879 0.4879 0.2514
0.5121 0.5121 0.7486
0.7962 0.7962 0.8170
```

## Properties
SG	C2/m
Fermi-level density of states	0.20	states/eV/atom
uncorrected formation energy	-5.18	eV per formula unit



3.
Computed, not measured: a relaxed ErTlZnTe3 crystal at the GGA-PBE level of DFT.

Structure (POSCAR):
```
ErTlZnTe3
1.0
9.5888 0.0000 0.0000
0.0000 4.3523 0.0000
-3.1251 0.0000 9.7526
Er Tl Zn Te
2 2 2 6
direct
0.1735 0.2500 0.1408
0.8265 0.7500 0.8592
0.2913 0.7500 0.7751
0.7087 0.2500 0.2249
0.4169 0.7500 0.3960
0.5831 0.2500 0.6040
0.0395 0.2500 0.8310
0.2862 0.2500 0.4681
0.3969 0.7500 0.1309
0.6031 0.2500 0.8691
0.7138 0.7500 0.5319
0.9605 0.7500 0.1690
```

## Properties
SG	P2_1/m
uncorrected formation energy	-4.88	eV per formula unit



4.
Computed, not measured: a relaxed ErZr3Tl3Te8 crystal at the GGA-PBE level of DFT.

Structure (POSCAR):
```
ErZr3Tl3Te8
1.0
7.1655 -4.1418 0.0000
7.1655 4.1418 0.0000
-4.7638 0.0000 8.4164
Er Zr Tl Te
1 3 3 8
direct
0.0000 0.0000 0.0000
0.0000 0.5000 0.0000
0.5000 0.0000 0.0000
0.5000 0.5000 0.0000
0.0000 0.0000 0.5000
0.0000 0.5000 0.5000
0.5000 0.0000 0.5000
0.2429 0.2429 0.2118
0.2429 0.7260 0.2119
0.2639 0.2639 0.7917
0.2740 0.7571 0.7881
0.7260 0.2429 0.2119
0.7361 0.7361 0.2083
0.7571 0.2740 0.7881
0.7571 0.7571 0.7882
```

## Properties
SG	C2/m
Fermi-level density of states	0.41	states/eV/atom
uncorrected formation energy	-11.85	eV per formula unit



| no. | size of the total moment (μB per formula unit) |
| --- | --- |
| 1 | 0.00 |
| 2 | 0.00 |
| 3 | 0.00 |
| 4 | 0.00 |